The following is a GGA+U calculation of a relaxed structure of Cr2CdTeO6, from Alexandria via LeMat-Bulk.

Cell: 5.4801 5.4804 5.5681 Å, 60.53 60.52 60.01°
Site moments in Bohr magnetons follow the coordinates.
Atoms (fractional coordinates):
O 0.8686 0.6617 0.2178  -0.03
O 0.6615 0.2518 0.2179  -0.03
Te 0.3085 0.3085 0.0746  0.04
Cr 0.0120 0.0120 0.9640  2.99
O 0.3626 0.7151 0.7521  -0.04
O 0.1704 0.3624 0.7521  -0.04
O 0.7152 0.1703 0.7520  -0.04
Cr 0.5220 0.5220 0.4340  2.97
Cd 0.7893 0.7892 0.6322  0.01
O 0.2514 0.8685 0.2184  -0.03

Output
The calculation puts the density of states at the Fermi level at 0.0 states/eV per cell. The total DFT energy (no corrections) is -6.332 eV per atom.